# 1
A crystal of SrZnSi2 relaxed with PBEsol. Source: Alexandria via LeMat-Bulk, functional SCAN.

```
SrZnSi2
1.0
-1.228 -0.159 -3.481
3.687 -0.715 -1.268
-2.147 -5.327 2.961
Sr Zn Si
1 1 2
Cartesian
-0.834 -5.241 0.533 Sr
1.435 -2.928 -0.373 Zn
-0.170 -1.069 0.109 Si
-1.035 -2.729 -1.471 Si
```

D(E_F) = 1.63 states/eV per cell
Uncorrected formation energy = -0.088 eV/atom

---

# 2
A crystal of CuNi2Rh relaxed with PBEsol. Source: Alexandria via LeMat-Bulk, functional SCAN.

```
CuNi2Rh
1.0
-1.540 -1.668 1.373
3.158 -0.747 2.637
-1.272 3.166 2.419
Cu Ni Rh
1 2 1
Cartesian
0.943 1.209 2.528 Cu
0.000 0.000 0.000 Ni
-1.406 0.749 1.896 Ni
0.809 -1.207 2.005 Rh
```

D(E_F) = 3.70 states/eV per cell
Formation energy from the elements = 0.14 eV/atom

---

# 3
A crystal of BeSbAs2 relaxed with PBEsol. Source: Alexandria via LeMat-Bulk, functional SCAN.

```
BeSbAs2
1.0
-3.676 0.416 0.689
-0.014 -3.255 1.888
1.139 2.608 4.504
Sb As Be
1 2 1
Cartesian
0.570 1.304 2.252 Sb
-1.838 0.208 0.345 As
-0.007 -1.628 0.944 As
-1.275 -0.116 3.541 Be
```

D(E_F) = 1.59 states/eV per cell
Relative energy among the computed polymorphs = 594 meV/atom
Uncorrected formation energy = 0.595 eV/atom

---

# 4
A crystal of MgSc2HgSb relaxed with PBEsol. Source: Alexandria via LeMat-Bulk, functional SCAN.

```
MgSc2HgSb
1.0
5.243 0.000 0.000
0.000 5.243 0.000
0.000 0.000 5.501
Sb Hg Sc Mg
1 1 2 1
Cartesian
0.000 0.000 2.751 Sb
0.000 0.000 0.000 Hg
2.622 0.000 0.000 Sc
0.000 2.622 0.000 Sc
2.622 2.622 2.751 Mg
```

D(E_F) = 3.87 states/eV per cell
Uncorrected formation energy = 0.320 eV/atom

---

# 5
A crystal of Cs3CuPb relaxed with PBEsol. Source: Alexandria via LeMat-Bulk, functional SCAN.

```
Cs3CuPb
1.0
6.484 0.000 0.000
0.000 6.484 0.000
0.000 0.000 6.484
Pb Cu Cs
1 1 3
Cartesian
3.242 3.242 3.242 Pb
0.000 0.000 0.000 Cu
0.000 0.000 3.242 Cs
0.000 3.242 0.000 Cs
3.242 0.000 0.000 Cs
```

D(E_F) = 3.71 states/eV per cell
Formation energy from the elements = 0.28 eV/atom

---

# 6
A crystal of LaHf2Ag relaxed with PBEsol. Source: Alexandria via LeMat-Bulk, functional SCAN.

```
LaHf2Ag
1.0
-0.711 2.588 4.112
2.781 -0.859 3.954
3.334 3.312 1.424
Hf La Ag
2 1 1
Cartesian
4.053 3.781 7.117 Hf
1.351 1.260 2.372 Hf
2.702 2.521 4.745 La
0.000 0.000 0.000 Ag
```

D(E_F) = 4.04 states/eV per cell
Formation energy from the elements = 0.33 eV/atom

---

# 7
A crystal of TcSb4Pt relaxed with PBEsol. Source: Alexandria via LeMat-Bulk, functional SCAN.

```
TcSb4Pt
1.0
5.862 0.000 0.000
2.931 5.077 0.000
2.931 1.692 4.786
Sb Tc Pt
4 1 1
Cartesian
5.862 3.384 4.191 Sb
7.330 2.537 1.794 Sb
4.394 2.537 1.794 Sb
5.862 5.079 1.794 Sb
8.793 5.077 3.590 Tc
0.000 0.000 0.000 Pt
```

D(E_F) = 3.99 states/eV per cell
Uncorrected formation energy = 1.160 eV/atom

---

# 8
A crystal of Cu2AgSbC relaxed with PBEsol. Source: Alexandria via LeMat-Bulk, functional SCAN.

```
Cu2AgSbC
1.0
-3.688 2.764 0.175
-2.398 -3.041 -2.505
-1.510 -2.282 4.215
Ag C Sb Cu
1 1 1 2
Cartesian
0.000 0.000 0.000 Ag
-3.798 -1.279 0.943 C
-0.755 -1.141 2.108 Sb
-1.199 -1.520 -1.252 Cu
-1.844 1.382 0.088 Cu
```

D(E_F) = 1.83 states/eV per cell
Uncorrected formation energy = 2.115 eV/atom

---

# 9
A crystal of NiAg2Pt relaxed with PBEsol. Source: Alexandria via LeMat-Bulk, functional SCAN.

```
NiAg2Pt
1.0
-1.912 -1.811 0.938
2.522 -3.514 -1.644
1.915 2.388 4.348
Ag Pt Ni
2 1 1
Cartesian
0.226 -1.052 2.594 Ag
2.512 -2.935 3.617 Ag
2.283 -1.883 1.017 Pt
0.337 -2.666 -0.297 Ni
```

D(E_F) = 2.15 states/eV per cell
Formation energy from the elements = 0.14 eV/atom

---

# 10
A crystal of ZrBeSiN2 relaxed with PBEsol. Source: Alexandria via LeMat-Bulk, functional SCAN.

```
ZrBeSiN2
1.0
-1.125 1.343 -3.688
-3.786 0.642 1.388
1.246 4.571 1.284
Si Zr Be N
1 1 1 2
Cartesian
-1.832 3.278 -0.508 Si
0.000 0.000 0.000 Zr
0.623 2.285 0.642 Be
-1.893 0.321 0.694 N
-0.562 0.671 -1.844 N
```

D(E_F) = 2.83 states/eV per cell
Uncorrected formation energy = 1.138 eV/atom

---

# 11
A crystal of Na7SbO6 relaxed with PBEsol. Source: Alexandria via LeMat-Bulk, functional SCAN.

```
Na7SbO6
1.0
-0.612 -6.258 0.566
4.416 -3.713 -2.563
3.950 -3.089 3.835
O Na Sb
6 7 1
Cartesian
3.344 -4.906 3.111 O
1.296 -6.576 -0.109 O
3.076 -8.448 2.558 O
4.874 -4.541 -0.746 O
6.376 -6.597 1.791 O
4.352 -8.202 -1.077 O
4.600 -6.901 3.308 Na
5.072 -8.542 1.202 Na
3.256 -6.091 -1.095 Na
5.981 -6.613 -0.472 Na
2.037 -6.376 2.025 Na
2.526 -8.560 0.270 Na
4.923 -4.737 1.492 Na
0.009 -0.015 0.002 Sb
```

D(E_F) = 0.00 states/eV per cell
Uncorrected formation energy = -1.602 eV/atom

---

# 12
A crystal of LiMg30CrO32 relaxed with PBEsol. Source: Alexandria via LeMat-Bulk, functional SCAN.

```
LiMg30CrO32
1.0
8.404 0.000 0.000
0.000 8.404 0.000
0.000 0.000 8.419
Mg O Li Cr
30 32 1 1
Cartesian
0.000 2.085 6.354 Mg
2.085 0.000 2.064 Mg
2.105 2.105 4.209 Mg
4.202 2.099 2.094 Mg
2.077 6.327 0.000 Mg
4.202 2.099 6.325 Mg
0.000 4.202 4.209 Mg
4.202 4.202 0.000 Mg
2.105 6.299 4.209 Mg
4.202 0.000 4.209 Mg
4.202 4.202 4.209 Mg
4.202 0.000 0.000 Mg
2.085 0.000 6.354 Mg
0.000 4.202 0.000 Mg
6.299 6.299 4.209 Mg
2.077 2.077 0.000 Mg
4.202 6.305 2.094 Mg
6.318 0.000 2.064 Mg
4.202 6.305 6.325 Mg
6.318 0.000 6.354 Mg
2.099 4.202 6.325 Mg
6.305 4.202 2.094 Mg
6.327 2.077 0.000 Mg
0.000 6.318 2.064 Mg
6.299 2.105 4.209 Mg
0.000 2.085 2.064 Mg
6.305 4.202 6.325 Mg
6.327 6.327 0.000 Mg
2.099 4.202 2.094 Mg
0.000 6.318 6.354 Mg
6.298 4.202 0.000 O
2.097 2.097 6.305 O
0.000 4.202 2.132 O
6.371 0.000 4.209 O
0.000 2.136 0.000 O
2.105 4.202 0.000 O
4.202 4.202 6.304 O
4.202 6.298 0.000 O
4.202 6.315 4.209 O
2.097 2.097 2.114 O
4.202 0.000 2.132 O
0.000 0.000 6.195 O
0.000 2.033 4.209 O
2.088 4.202 4.209 O
4.202 0.000 6.286 O
0.000 6.371 4.209 O
0.000 0.000 2.224 O
2.097 6.307 2.114 O
6.307 6.307 6.305 O
2.136 0.000 0.000 O
6.315 4.202 4.209 O
6.268 0.000 0.000 O
6.307 6.307 2.114 O
2.033 0.000 4.209 O
6.307 2.097 6.305 O
4.202 2.105 0.000 O
4.202 2.088 4.209 O
2.097 6.307 6.305 O
4.202 4.202 2.115 O
6.307 2.097 2.114 O
0.000 6.268 0.000 O
0.000 4.202 6.286 O
0.000 0.000 0.000 Li
0.000 0.000 4.209 Cr
```

D(E_F) = 0.00 states/eV per cell
Uncorrected formation energy = -2.981 eV/atom

---

- Which formula does entry 12 have?
  LiMg30CrO32